The following is a DFT calculation (PBE-GGA) of a geometry-optimized Dy2ScCuTe5 structure.

abc: 4.183 9.479 12.730
angles: 90.00 90.00 102.75
Element x y z (fractional)
Te: 0.499 0.999 0.787
Te: 0.308 0.617 0.344
Te: 0.958 0.916 0.567
Te: 0.286 0.571 0.667
Te: 0.650 0.299 0.499
Te: 0.501 0.001 0.287
Te: 0.042 0.084 0.067
Te: 0.692 0.383 0.844
Te: 0.350 0.701 0.999
Te: 0.714 0.429 0.167
Dy: 0.889 0.779 0.186
Dy: 0.873 0.747 0.804
Dy: 0.111 0.221 0.686
Dy: 0.127 0.253 0.304
Cu: 0.574 0.148 0.960
Cu: 0.426 0.852 0.460
Sc: 0.813 0.626 0.510
Sc: 0.187 0.374 0.010

## Properties
Its crystal system is orthorhombic. For the electronic total energy, the calculation gives -45.2 eV per formula unit. For the uncorrected formation energy, the calculation gives -25.2 kcal/mol of atoms. As for the density of states at the Fermi level: 0.4 states/eV/cell.


The following is a DFT calculation (PBE-GGA) of a geometry-optimized LiRuSeI structure.

abc: 3.947 4.428 5.677
angles: 90.00 90.00 90.00
Element x y z (fractional)
I: 0.500 0.500 0.460
Li: 0.000 0.500 0.790
Se: 0.000 0.000 0.973
Ru: 0.500 0.000 0.733

## Properties
Its crystal system is orthorhombic. The energy above the lowest structure with this stoichiometry comes out at 0.200 eV/atom. For the electronic total energy, the calculation gives -16.9 eV per formula unit. For the uncorrected formation energy, the calculation gives -4.0 kcal/mol of atoms. As for the density of states at the Fermi level: 3.7 states/eV/cell.


The following is a DFT calculation (PBE-GGA) of a geometry-optimized Y2Cu3Rh structure.

abc: 5.603 5.603 8.139
angles: 106.16 106.16 101.03
Element x y z (fractional)
Cu: 0.325 0.839 0.164
Cu: 0.675 0.161 0.836
Cu: 0.839 0.325 0.164
Cu: 0.161 0.675 0.836
Cu: 0.835 0.835 0.671
Cu: 0.165 0.165 0.329
Rh: 0.337 0.337 0.675
Rh: 0.663 0.663 0.325
Y: 0.250 0.750 0.500
Y: 0.255 0.255 0.000
Y: 0.745 0.745 0.000
Y: 0.750 0.250 0.500

## Properties
The value obtained for the formation energy is -0.375 eV/atom. Its crystal system is orthorhombic. For the electronic total energy, the calculation gives -34.8 eV per formula unit. As for the density of states at the Fermi level: 6.8 states/eV/cell.


The following is a DFT calculation (PBE-GGA) of a geometry-optimized BaGe3O structure.

abc: 4.749 4.749 4.749
angles: 90.00 90.00 90.00
Element x y z (fractional)
Ba: 0.500 0.500 0.500
Ge: 0.000 0.000 0.500
Ge: 0.000 0.500 0.000
Ge: 0.500 0.000 0.000
O: 0.000 0.000 0.000

## Properties
Its crystal system is cubic. The energy above the lowest structure with this stoichiometry comes out at 0.000 eV/atom. For the electronic total energy, the calculation gives -21.8 eV per formula unit. For the uncorrected formation energy, the calculation gives -5.0 kcal/mol of atoms. As for the density of states at the Fermi level: 2.4 states/eV/cell.


The following is a DFT calculation (PBE-GGA) of a geometry-optimized Mg2AgSb structure.

abc: 4.550 4.547 4.127
angles: 90.00 90.00 90.00
Element x y z (fractional)
Mg: 0.500 0.500 0.000
Mg: 0.000 0.000 0.000
Sb: 0.500 0.000 0.500
Ag: 0.000 0.500 0.500

## Properties
Its crystal system is tetragonal. The energy above the lowest structure with this stoichiometry comes out at 0.000 eV/atom. For the electronic total energy, the calculation gives -10.9 eV per formula unit. For the uncorrected formation energy, the calculation gives -4.4 kcal/mol of atoms. As for the density of states at the Fermi level: 1.8 states/eV/cell.


The following is a DFT calculation (PBE-GGA) of a geometry-optimized Mn2ZnRh structure.

abc: 5.327 3.945 6.061
angles: 90.00 118.88 90.00
Element x y z (fractional)
Mn: 0.961 0.500 0.141
Mn: 0.863 0.000 0.404
Mn: 0.355 0.000 0.402
Mn: 0.240 0.500 0.655
Rh: 0.596 0.000 0.910
Rh: 0.734 0.500 0.639
Zn: 0.090 0.000 0.898
Zn: 0.472 0.500 0.153

## Properties
The value obtained for the formation energy is -0.016 eV/atom. Its crystal system is monoclinic. For the electronic total energy, the calculation gives -27.0 eV per formula unit. As for the density of states at the Fermi level: 6.3 states/eV/cell.


Look up the electronic total energy of the second one.
-16.9 eV per formula unit


Which value of electronic total energy does entry 1 give?
-45.2 eV per formula unit


The highest electronic total energy belongs to which entry?
Mg2AgSb